First-principles (PBE-GGA) data for a relaxed Pm2Pr3TaN6 crystal, as listed in Alexandria.

Unit cell a=6.129 b=6.129 c=6.141 alpha=99.54 beta=99.54 gamma=119.95
Fractional positions:
1 Pr 0.834 0.166 0.500
2 N 0.224 0.224 0.773
3 N 0.776 0.776 0.227
4 Pr 0.500 0.500 0.500
5 Pm 0.667 0.333 0.000
6 Ta 0.000 0.000 0.000
7 N 0.370 0.073 0.219
8 N 0.630 0.927 0.781
9 N 0.927 0.630 0.781
10 Pm 0.333 0.667 0.000
11 Pr 0.166 0.834 0.500
12 N 0.073 0.370 0.219

Properties
The calculation puts the formation energy from raw total energies at -1.3116 eV/atom. Its total energy is -8.45 eV per atom. The magnetization comes out at 0.0 μB/cell.

=====

First-principles (PBE-GGA) data for a relaxed TbPm2PrN4 crystal, as listed in Alexandria.

Unit cell a=3.607 b=6.243 c=6.246 alpha=70.59 beta=90.00 gamma=90.00
Fractional positions:
1 Pm 0.500 0.000 0.500
2 N 0.000 0.751 0.744
3 Tb 0.000 0.500 0.500
4 Pr 0.500 0.500 0.000
5 Pm 0.000 0.000 0.000
6 N 0.500 0.747 0.256
7 N 0.000 0.249 0.256
8 N 0.500 0.253 0.744

Properties
The calculation puts the formation energy from raw total energies at -1.4390 eV/atom. Its total energy is -7.97 eV per atom. The magnetization comes out at 0.0 μB/cell.